1.
Entry from the Alexandria database: a relaxed Li2Nb2V crystal (GGA-PBE).

```
Li2Nb2V
1.0
-3.547 -2.868 5.977
-2.694 -5.571 -4.272
2.157 -1.480 0.570
Nb V Li
4 2 4
Direct
0.190 0.690 0.500
0.810 0.310 0.500
0.690 0.810 0.500
0.310 0.190 0.500
0.500 0.500 0.000
0.000 0.000 0.000
0.392 0.892 0.000
0.108 0.392 0.000
0.608 0.108 0.000
0.892 0.608 0.000
```

Calculated values
As for the distance to the lowest polymorph of the same formula: 0 meV per atom. The value obtained for the formation energy is 630 meV per atom. Its symmetry is P4/mbm, No. 127.

2.
Entry from the Alexandria database: a relaxed Li2NbV crystal (GGA-PBE).

```
Li2NbV
1.0
0.000 3.064 3.064
3.064 0.000 3.064
3.064 3.064 0.000
Li V Nb
2 1 1
Direct
0.250 0.250 0.250
0.750 0.750 0.750
0.000 0.000 0.000
0.500 0.500 0.500
```

Calculated values
As for the distance to the lowest polymorph of the same formula: 0 meV per atom. The value obtained for the formation energy is 710 meV per atom. Its symmetry is Fm-3m, No. 225.

3.
Entry from the Alexandria database: a relaxed LiNbV3 crystal (GGA-PBE).

```
LiNbV3
1.0
-2.837 -3.190 1.938
2.108 -3.379 -2.475
3.080 -0.626 3.479
Nb V Li
1 3 1
Direct
0.000 0.000 0.000
0.000 0.500 0.000
0.500 0.000 0.000
0.000 0.000 0.500
0.500 0.500 0.500
```

Calculated values
As for the distance to the lowest polymorph of the same formula: 324 meV per atom. The value obtained for the formation energy is 1402 meV per atom. Its symmetry is Pm-3m, No. 221.

4.
Entry from the Alexandria database: a relaxed LiNb2V crystal (GGA-PBE).

```
LiNb2V
1.0
-1.804 -2.576 -3.171
-3.403 1.532 -2.454
0.624 0.996 -4.309
Li Nb V
1 2 1
Direct
0.000 0.000 0.000
0.250 0.250 0.250
0.750 0.750 0.750
0.500 0.500 0.500
```

Calculated values
As for the distance to the lowest polymorph of the same formula: 0 meV per atom. The value obtained for the formation energy is 293 meV per atom. Its symmetry is Fm-3m, No. 225.

5.
Entry from the Alexandria database: a relaxed LiNb2V2 crystal (GGA-PBE).

```
LiNb2V2
1.0
-0.946 -4.050 5.508
0.292 -5.580 -4.052
3.396 -0.160 0.465
V Nb Li
4 4 2
Direct
0.372 0.872 0.000
0.628 0.128 0.000
0.872 0.628 0.000
0.128 0.372 0.000
0.669 0.831 0.500
0.169 0.669 0.500
0.331 0.169 0.500
0.831 0.331 0.500
0.500 0.500 0.000
0.000 0.000 0.000
```

Calculated values
The value obtained for the formation energy is 352 meV per atom. Its symmetry is P4/mbm, No. 127.

6.
Entry from the Alexandria database: a relaxed Li2NbV crystal (GGA-PBE).

```
Li2NbV
1.0
-3.944 3.481 -4.905
-5.143 -4.994 0.591
-5.582 0.519 -0.417
Li Nb V
4 2 2
Direct
0.140 0.625 0.250
0.875 0.860 0.750
0.375 0.390 0.750
0.610 0.125 0.250
0.000 0.000 0.000
0.750 0.250 0.500
0.250 0.750 0.500
0.500 0.500 0.000
```

Calculated values
As for the distance to the lowest polymorph of the same formula: 25 meV per atom. The value obtained for the formation energy is 736 meV per atom. Its symmetry is I-42d, No. 122.